First-principles (PBE+U) data for a relaxed structure of AsWO2, as listed in Alexandria via LeMat-Bulk.

Cell lengths 7.242, 7.242, 7.242 Å; angles 22.64, 22.64, 22.64 degrees
Sites, in units of the cell vectors:
W  0.500  0.500  0.500
O  0.100  0.100  0.100
O  0.900  0.900  0.900
As  0.000  0.000  0.000

## Properties
SG	R-3m (166)
E_tot	-24.9	eV/f.u.